Record 1
# TmCd4Hg2

A geometry-optimized TmCd4Hg2 structure (PBE, Alexandria).

Computed properties:
D(E_F) (states/eV/f.u.): 2.94
Energy (eV per cell): -9.45
Offset from the most stable computed form (meV/atom): 28.7

a b c (Å): 6.609 6.609 10.241
angles (deg): 130.99 130.99 89.04
Positions (direct):
Tm 0.000 0.000 0.000
Hg 0.753 0.753 0.499
Hg 0.247 0.247 0.501
Cd 0.788 0.212 0.500
Cd 0.212 0.788 0.500
Cd 0.500 0.000 0.000
Cd 0.000 0.500 0.000

Record 2
# Tm8Cd2Hg

A geometry-optimized Tm8Cd2Hg structure (PBE, Alexandria).

Computed properties:
D(E_F) (states/eV/f.u.): 10.45
Energy (eV per cell): -39.46

a b c (Å): 5.157 7.021 9.248
angles (deg): 106.15 106.19 90.00
Positions (direct):
Tm 0.407 0.541 0.815
Tm 0.665 0.963 0.330
Tm 0.803 0.700 0.606
Tm 0.977 0.237 0.955
Tm 0.197 0.300 0.394
Tm 0.335 0.037 0.670
Tm 0.593 0.459 0.185
Tm 0.023 0.763 0.045
Cd 0.814 0.288 0.627
Cd 0.186 0.712 0.373
Hg 0.500 0.000 0.000

Record 3
# Tm4CdHg5

A geometry-optimized Tm4CdHg5 structure (PBE, Alexandria).

Computed properties:
D(E_F) (states/eV/f.u.): 6.28
Energy (eV per cell): -24.23

a b c (Å): 3.669 3.669 18.085
angles (deg): 90.00 90.00 90.00
Positions (direct):
Tm 0.000 0.000 0.194
Tm 0.000 0.000 0.398
Tm 0.000 0.000 0.602
Tm 0.000 0.000 0.806
Cd 0.000 0.000 0.000
Hg 0.500 0.500 0.098
Hg 0.500 0.500 0.298
Hg 0.500 0.500 0.500
Hg 0.500 0.500 0.702
Hg 0.500 0.500 0.902

Record 4
# TmCd12Hg6

A geometry-optimized TmCd12Hg6 structure (PBE, Alexandria).

Computed properties:
D(E_F) (states/eV/f.u.): 4.98
Energy (eV per cell): -18.02
Offset from the most stable computed form (meV/atom): 0.0

a b c (Å): 7.979 7.979 7.979
angles (deg): 103.50 103.50 103.50
Positions (direct):
Tm 0.000 0.000 0.000
Cd 0.809 0.418 0.410
Cd 0.410 0.809 0.418
Cd 0.418 0.410 0.809
Cd 0.191 0.582 0.590
Cd 0.590 0.191 0.582
Cd 0.582 0.590 0.191
Cd 0.996 0.735 0.263
Cd 0.265 0.737 0.004
Cd 0.737 0.004 0.265
Cd 0.004 0.265 0.737
Cd 0.735 0.263 0.996
Cd 0.263 0.996 0.735
Hg 0.834 0.840 0.582
Hg 0.418 0.166 0.160
Hg 0.160 0.418 0.166
Hg 0.166 0.160 0.418
Hg 0.582 0.834 0.840
Hg 0.840 0.582 0.834

Record 5
# Tm4CdHg2

A geometry-optimized Tm4CdHg2 structure (PBE, Alexandria).

Computed properties:
D(E_F) (states/eV/f.u.): 6.81
Energy (eV per cell): -21.26
Offset from the most stable computed form (meV/atom): 0.0

a b c (Å): 5.131 5.131 8.811
angles (deg): 73.07 73.07 60.00
Positions (direct):
Tm 0.871 0.871 0.386
Tm 0.129 0.129 0.614
Tm 0.619 0.619 0.142
Tm 0.381 0.381 0.858
Hg 0.750 0.750 0.751
Hg 0.250 0.250 0.249
Cd 0.000 0.000 0.000

Record 6
# Tm3Cd2Hg3

A geometry-optimized Tm3Cd2Hg3 structure (PBE, Alexandria).

Computed properties:
D(E_F) (states/eV/f.u.): 3.81
Energy (eV per cell): -18.44
Offset from the most stable computed form (meV/atom): 61.0

a b c (Å): 3.727 7.878 7.878
angles (deg): 120.00 90.00 90.00
Positions (direct):
Tm 0.500 0.365 0.365
Tm 0.500 0.635 0.000
Tm 0.500 0.000 0.635
Cd 0.000 0.333 0.667
Cd 0.000 0.667 0.333
Hg 0.000 0.747 0.747
Hg 0.000 0.253 0.000
Hg 0.000 0.000 0.253